Entry 1:
Below is an optimized crystal structure of NdPPd, with properties calculated at the GGA-PBEsol level.

Calculated values
The space group is P6_3/mmc, No. 194. For the formation energy, the calculation gives -1.28 eV/atom.

Unit cell a=4.1607 b=4.1607 c=7.8331 alpha=90.00 beta=90.00 gamma=120.00
Last column: nearest neighbours and their distance in Å.
Atoms (fractional coordinates):
Nd 0.0000 0.0000 0.0000  6 Pd 3.10, 6 P 3.10
Pd 0.6667 0.3333 0.2500  3 P 2.40
Nd 0.0000 0.0000 0.5000  6 Pd 3.10, 6 P 3.10
P 0.3333 0.6667 0.2500  3 Pd 2.40
P 0.6667 0.3333 0.7500  3 Pd 2.40
Pd 0.3333 0.6667 0.7500  3 P 2.40

=====

Entry 2:
Below is an optimized crystal structure of Nd3P6Pd20, with properties calculated at the GGA-PBEsol level.

Calculated values
The space group is Fm-3m, No. 225. For the formation energy, the calculation gives -0.75 eV/atom.

Unit cell a=8.5997 b=8.5997 c=8.5997 alpha=60.00 beta=60.00 gamma=60.00
Last column: nearest neighbours and their distance in Å.
Atoms (fractional coordinates):
Nd 0.2500 0.2500 0.2500  4 Pd 2.87
Pd 0.8418 0.3861 0.3861  3 P 2.47
Pd 0.3474 0.0000 0.6526  2 P 2.37, 1 Pd 2.62
Pd 0.6139 0.6139 0.6139  3 P 2.47
Nd 0.0000 0.0000 0.0000  12 Pd 2.99, 6 P 3.20
Pd 0.3861 0.8418 0.3861  3 P 2.47
Pd 0.1582 0.6139 0.6139  3 P 2.47
Pd 0.6139 0.1582 0.6139  3 P 2.47
Pd 0.3474 0.6526 0.0000  2 P 2.37, 1 Pd 2.62
P 0.7372 0.2628 0.2628  8 Pd 2.37-2.47
P 0.2628 0.7372 0.7372  8 Pd 2.37-2.47
Pd 0.6526 0.0000 0.0000  2 P 2.37, 1 Pd 2.62
Pd 0.3861 0.3861 0.8418  3 P 2.47
Pd 0.6526 0.3474 0.0000  2 P 2.37, 1 Pd 2.62
Pd 0.0000 0.6526 0.3474  2 P 2.37, 1 Pd 2.62
Pd 0.6139 0.6139 0.1582  3 P 2.47
P 0.2628 0.2628 0.7372  8 Pd 2.37-2.47
Pd 0.0000 0.6526 0.0000  2 P 2.37, 1 Pd 2.62
Pd 0.0000 0.0000 0.6526  2 P 2.37, 1 Pd 2.62
P 0.7372 0.2628 0.7372  8 Pd 2.37-2.47
Pd 0.0000 0.0000 0.3474  2 P 2.37, 1 Pd 2.62
Pd 0.6526 0.0000 0.3474  2 P 2.37, 1 Pd 2.62
Pd 0.3861 0.3861 0.3861  3 P 2.47
Nd 0.7500 0.7500 0.7500  4 Pd 2.87
P 0.7372 0.7372 0.2628  8 Pd 2.37-2.47
Pd 0.3474 0.0000 0.0000  2 P 2.37, 1 Pd 2.62
P 0.2628 0.7372 0.2628  8 Pd 2.37-2.47
Pd 0.0000 0.3474 0.6526  2 P 2.37, 1 Pd 2.62
Pd 0.0000 0.3474 0.0000  2 P 2.37, 1 Pd 2.62

=====

Entry 3:
Below is an optimized crystal structure of Nd2P7Rh12, with properties calculated at the GGA-PBEsol level.

Calculated values
The space group is P-3, No. 147. For the formation energy, the calculation gives -0.97 eV/atom.

Unit cell a=3.8422 b=9.5116 c=9.5116 alpha=120.00 beta=90.00 gamma=90.00
Last column: nearest neighbours and their distance in Å.
Atoms (fractional coordinates):
P 0.7538 0.8844 0.2877  7 Rh 2.29-2.51
Rh 0.2480 0.8895 0.7403  4 P 2.29-2.49
Rh 0.7497 0.6190 0.0634  4 P 2.34-2.51
P 0.5000 0.0000 0.0000  6 Rh 2.36
P 0.2462 0.2877 0.4033  7 Rh 2.29-2.51
Rh 0.2480 0.2597 0.1493  4 P 2.29-2.49
P 0.2462 0.1156 0.7123  7 Rh 2.29-2.51
Rh 0.7497 0.4444 0.3810  4 P 2.34-2.51
P 0.7538 0.7123 0.5967  7 Rh 2.29-2.51
Rh 0.7520 0.7403 0.8507  4 P 2.29-2.49
Rh 0.2503 0.5556 0.6190  4 P 2.34-2.51
Rh 0.2503 0.3810 0.9366  4 P 2.34-2.51
Nd 0.7498 0.3333 0.6667  6 P 3.00-3.02, 9 Rh 3.05-3.36
P 0.2462 0.5967 0.8844  7 Rh 2.29-2.51
Rh 0.7520 0.1493 0.8895  4 P 2.29-2.49
Rh 0.2480 0.8507 0.1105  4 P 2.29-2.49
Rh 0.7497 0.9366 0.5556  4 P 2.34-2.51
Rh 0.2503 0.0634 0.4444  4 P 2.34-2.51
P 0.7538 0.4033 0.1156  7 Rh 2.29-2.51
Rh 0.7520 0.1105 0.2597  4 P 2.29-2.49
Nd 0.2502 0.6667 0.3333  6 P 3.00-3.02, 9 Rh 3.05-3.36

=====

Entry 4:
Below is an optimized crystal structure of NdP2Rh2, with properties calculated at the GGA-PBEsol level.

Calculated values
The space group is P4/nmm, No. 129. For the formation energy, the calculation gives -1.18 eV/atom.

Unit cell a=4.1062 b=4.1062 c=9.5030 alpha=90.00 beta=90.00 gamma=90.00
Last column: nearest neighbours and their distance in Å.
Atoms (fractional coordinates):
Rh 0.5000 0.0000 0.3866  5 P 2.32-2.36
P 0.5000 0.0000 0.1380  5 Rh 2.36-2.44
P 0.0000 0.5000 0.8620  5 Rh 2.36-2.44
P 0.5000 0.5000 0.5000  4 Rh 2.32
Nd 0.5000 0.0000 0.7424  8 P 3.09-3.12, 9 Rh 3.15-3.38
Nd 0.0000 0.5000 0.2576  8 P 3.09-3.12, 9 Rh 3.15-3.38
P 0.0000 0.0000 0.5000  4 Rh 2.32
Rh 0.0000 0.0000 0.0000  4 P 2.44
Rh 0.5000 0.5000 0.0000  4 P 2.44
Rh 0.0000 0.5000 0.6134  5 P 2.32-2.36

=====

Entry 5:
Below is an optimized crystal structure of NdPS, with properties calculated at the GGA-PBEsol level.

Calculated values
The space group is Pnma, No. 62. The total energy comes out at -80.049 eV per cell.

Unit cell a=3.7080 b=7.1373 c=9.3548 alpha=90.00 beta=90.00 gamma=90.00
Last column: nearest neighbours and their distance in Å.
Atoms (fractional coordinates):
Nd 0.2500 0.2023 0.6578  5 S 2.84-3.02, 4 P 2.96-3.01
S 0.2500 0.5996 0.1553  5 Nd 2.84-3.02, 2 P 3.11
P 0.7500 0.4144 0.4622  2 P 2.33
P 0.2500 0.0856 0.9622  2 P 2.33
S 0.7500 0.4004 0.8447  5 Nd 2.84-3.02, 2 P 3.11
P 0.7500 0.9144 0.0378  2 P 2.33
S 0.7500 0.9004 0.6553  5 Nd 2.84-3.02, 2 P 3.11
Nd 0.2500 0.7023 0.8422  5 S 2.84-3.02, 4 P 2.96-3.01
Nd 0.7500 0.7977 0.3422  5 S 2.84-3.02, 4 P 2.96-3.01
P 0.2500 0.5856 0.5378  2 P 2.33
Nd 0.7500 0.2977 0.1578  5 S 2.84-3.02, 4 P 2.96-3.01
S 0.2500 0.0996 0.3447  5 Nd 2.84-3.02, 2 P 3.11

=====

Entry 6:
Below is an optimized crystal structure of NdTlP2S7, with properties calculated at the GGA-PBEsol level.

Calculated values
The space group is P2_1/c, No. 14. The total energy comes out at -233.753 eV per cell.

Unit cell a=8.9339 b=9.5498 c=12.1800 alpha=90.00 beta=90.00 gamma=90.34
Last column: nearest neighbours and their distance in Å.
Atoms (fractional coordinates):
S 0.8874 0.3760 0.7932  1 P 2.02
S 0.1438 0.1512 0.3027  1 P 2.03
S 0.4301 0.6571 0.0238  1 P 2.02
S 0.6438 0.1512 0.1973  1 P 2.03
S 0.5728 0.0870 0.6655  1 P 2.04
P 0.4757 0.7226 0.4001  4 S 2.01-2.13
Tl 0.6245 0.6042 0.8118  8 S 3.15-3.41
S 0.3874 0.3760 0.7068  1 P 2.02
S 0.9272 0.9130 0.1655  1 P 2.04
Nd 0.6064 0.8570 0.1428  8 S 2.86-3.01
S 0.5752 0.7464 0.5578  2 P 2.12-2.13
S 0.9301 0.6571 0.4762  1 P 2.02
S 0.4248 0.2536 0.4422  2 P 2.12-2.13
P 0.1989 0.1889 0.4616  4 S 2.02-2.12
Tl 0.8755 0.3958 0.3118  8 S 3.15-3.41
Nd 0.3936 0.1430 0.8572  8 S 2.86-3.01
S 0.1126 0.6240 0.2068  1 P 2.02
S 0.9248 0.2536 0.0578  2 P 2.12-2.13
S 0.3562 0.8488 0.8027  1 P 2.03
S 0.3190 0.9820 0.0604  1 P 2.03
P 0.8011 0.8111 0.5384  4 S 2.02-2.12
S 0.8562 0.8488 0.6973  1 P 2.03
P 0.6989 0.1889 0.0384  4 S 2.02-2.12
S 0.7849 0.6262 0.0550  1 P 2.01
P 0.3011 0.8111 0.9616  4 S 2.02-2.12
P 0.9757 0.7226 0.0999  4 S 2.01-2.13
P 0.0243 0.2774 0.9001  4 S 2.01-2.13
P 0.5243 0.2774 0.5999  4 S 2.01-2.13
S 0.5699 0.3429 0.9762  1 P 2.02
S 0.1810 0.0180 0.5604  1 P 2.03
S 0.0728 0.0870 0.8345  1 P 2.04
S 0.8190 0.9820 0.4396  1 P 2.03
S 0.2849 0.6262 0.4450  1 P 2.01
S 0.6810 0.0180 0.9396  1 P 2.03
S 0.0752 0.7464 0.9422  2 P 2.12-2.13
Nd 0.8936 0.1430 0.6428  8 S 2.86-3.01
S 0.6126 0.6240 0.2932  1 P 2.02
Tl 0.3755 0.3958 0.1882  8 S 3.15-3.41
Nd 0.1064 0.8570 0.3572  8 S 2.86-3.01
S 0.0699 0.3429 0.5238  1 P 2.02
S 0.4272 0.9130 0.3345  1 P 2.04
S 0.7151 0.3738 0.5550  1 P 2.01
S 0.2151 0.3738 0.9450  1 P 2.01
Tl 0.1245 0.6042 0.6882  8 S 3.15-3.41

=====

Entry 7:
Below is an optimized crystal structure of NdSi2P6, with properties calculated at the GGA-PBEsol level.

Calculated values
The space group is Cmc2_1, No. 36. The total energy comes out at -443.255 eV per cell.

Unit cell a=10.0545 b=10.1733 c=14.7246 alpha=90.00 beta=109.96 gamma=90.00
Last column: nearest neighbours and their distance in Å.
Atoms (fractional coordinates):
P 0.9537 0.8177 0.3158  2 Si 2.19-2.27
P 0.5694 0.0349 0.4658  2 P 2.21-2.22, 1 Si 2.26
P 0.8006 0.5037 0.2952  1 P 2.21, 2 Si 2.25-2.27
P 0.6735 0.6837 0.7606  2 Si 2.26
Nd 0.3115 0.2410 0.6231  9 P 2.89-3.19
P 0.4946 0.5037 0.2952  1 P 2.21, 2 Si 2.25-2.27
P 0.4306 0.5349 0.5342  2 P 2.21-2.22, 1 Si 2.26
P 0.8026 0.1237 0.9103  1 P 2.19, 2 Si 2.25-2.27
Si 0.9928 0.5316 0.6442  4 P 2.22-2.27
P 0.5471 0.8311 0.5126  1 Si 2.22, 1 P 2.22
Nd 0.4204 0.6460 0.8408  9 P 2.95-3.17
P 0.8422 0.0057 0.6845  1 P 2.21, 2 Si 2.29
Si 0.6513 0.5316 0.6442  4 P 2.22-2.27
P 0.3203 0.5241 0.6406  2 P 2.21
Si 0.7365 0.5035 0.1334  4 P 2.23-2.26
P 0.3841 0.9032 0.0854  2 P 2.21-2.24, 1 Si 2.26
Nd 0.2341 0.7605 0.4681  8 P 2.94-3.19
Nd 0.6885 0.7410 0.3769  9 P 2.89-3.19
P 0.3265 0.1837 0.2394  2 Si 2.26
P 0.9220 0.9991 0.8440  3 P 2.19-2.21
P 0.2986 0.4032 0.9146  2 P 2.21-2.24, 1 Si 2.26
P 0.5767 0.7840 0.1533  3 P 2.21
P 0.8964 0.0349 0.4658  2 P 2.21-2.22, 1 Si 2.26
P 0.4233 0.2840 0.8467  3 P 2.21
P 0.7311 0.3121 0.0583  1 Si 2.23, 1 P 2.24
Si 0.0788 0.3243 0.8390  4 P 2.19-2.27
Si 0.2635 0.0035 0.8666  4 P 2.23-2.26
Si 0.9212 0.8243 0.1610  4 P 2.19-2.27
P 0.5294 0.6087 0.0589  1 P 2.21, 2 Si 2.26
Nd 0.7659 0.2605 0.5319  8 P 2.94-3.19
P 0.6729 0.8121 0.9417  1 Si 2.23, 1 P 2.24
P 0.2689 0.8121 0.9417  1 Si 2.23, 1 P 2.24
P 0.0780 0.4991 0.1560  3 P 2.19-2.21
P 0.6379 0.3177 0.6842  2 Si 2.19-2.27
P 0.1036 0.5349 0.5342  2 P 2.21-2.22, 1 Si 2.26
P 0.5054 0.0037 0.7048  1 P 2.21, 2 Si 2.25-2.27
P 0.9656 0.8311 0.5126  1 Si 2.22, 1 P 2.22
Si 0.3969 0.5035 0.1334  4 P 2.23-2.26
Nd 0.9597 0.7244 0.9194  9 P 2.98-3.14
P 0.6553 0.3495 0.3107  2 P 2.21
P 0.9594 0.4297 0.9188  2 Si 2.22
P 0.9128 0.1837 0.2394  2 Si 2.26
P 0.0344 0.3311 0.4874  1 Si 2.22, 1 P 2.22
Nd 0.5796 0.1460 0.1592  9 P 2.95-3.17
P 0.3447 0.8495 0.6893  2 P 2.21
Si 0.6031 0.0035 0.8666  4 P 2.23-2.26
P 0.7716 0.5494 0.5432  2 Si 2.22
P 0.3271 0.3121 0.0583  1 Si 2.23, 1 P 2.24
P 0.1974 0.6237 0.0897  1 P 2.19, 2 Si 2.25-2.27
P 0.3621 0.8177 0.3158  2 Si 2.19-2.27
P 0.4529 0.3311 0.4874  1 Si 2.22, 1 P 2.22
P 0.0872 0.6837 0.7606  2 Si 2.26
Si 0.6580 0.8654 0.6693  4 P 2.22-2.29
P 0.0406 0.9297 0.0812  2 Si 2.22
P 0.6797 0.0241 0.3594  2 P 2.21
P 0.4706 0.1087 0.9411  1 P 2.21, 2 Si 2.26
Si 0.3420 0.3654 0.3307  4 P 2.22-2.29
Si 0.0072 0.0316 0.3558  4 P 2.22-2.27
P 0.1994 0.0037 0.7048  1 P 2.21, 2 Si 2.25-2.27
Si 0.3487 0.0316 0.3558  4 P 2.22-2.27
P 0.1578 0.5057 0.3155  1 P 2.21, 2 Si 2.29
P 0.6159 0.4032 0.9146  2 P 2.21-2.24, 1 Si 2.26
P 0.7014 0.9032 0.0854  2 P 2.21-2.24, 1 Si 2.26
Si 0.7602 0.3243 0.8390  4 P 2.19-2.27
P 0.1077 0.1237 0.9103  1 P 2.19, 2 Si 2.25-2.27
Si 0.0112 0.8654 0.6693  4 P 2.22-2.29
Si 0.2398 0.8243 0.1610  4 P 2.19-2.27
Nd 0.0403 0.2244 0.0806  9 P 2.98-3.14
P 0.0463 0.3177 0.6842  2 Si 2.19-2.27
Si 0.9888 0.3654 0.3307  4 P 2.22-2.29
P 0.2284 0.0494 0.4568  2 Si 2.22
P 0.8923 0.6237 0.0897  1 P 2.19, 2 Si 2.25-2.27

=====

Entry 8:
Below is an optimized crystal structure of NdPb3, with properties calculated at the GGA-PBEsol level.

Calculated values
The space group is Pm-3m, No. 221. For the formation energy, the calculation gives -0.41 eV/atom.

Unit cell a=4.8347 b=4.8347 c=4.8347 alpha=90.00 beta=90.00 gamma=90.00
Last column: nearest neighbours and their distance in Å.
Atoms (fractional coordinates):
Pb 0.5000 0.0000 0.5000  8 Pb 3.42, 4 Nd 3.42
Pb 0.5000 0.5000 0.0000  8 Pb 3.42, 4 Nd 3.42
Pb 0.0000 0.5000 0.5000  8 Pb 3.42, 4 Nd 3.42
Nd 0.0000 0.0000 0.0000  12 Pb 3.42

=====

Entry 9:
Below is an optimized crystal structure of Nd5Pb3, with properties calculated at the GGA-PBEsol level.

Calculated values
The space group is P6_3/mcm, No. 193. For the formation energy, the calculation gives -0.57 eV/atom.

Unit cell a=6.7569 b=9.2625 c=9.2625 alpha=120.00 beta=90.00 gamma=90.00
Last column: nearest neighbours and their distance in Å.
Atoms (fractional coordinates):
Nd 0.5000 0.3333 0.6667  6 Pb 3.31, 2 Nd 3.38
Nd 0.2500 0.7601 0.7601  3 Pb 3.19-3.39
Pb 0.7500 0.0000 0.3941  7 Nd 3.19-3.39
Nd 0.5000 0.6667 0.3333  6 Pb 3.31, 2 Nd 3.38
Nd 0.2500 0.2399 0.0000  3 Pb 3.19-3.39
Nd 0.7500 0.7601 0.0000  3 Pb 3.19-3.39
Pb 0.7500 0.6059 0.6059  7 Nd 3.19-3.39
Pb 0.2500 0.3941 0.3941  7 Nd 3.19-3.39
Pb 0.2500 0.6059 0.0000  7 Nd 3.19-3.39
Nd 0.0000 0.3333 0.6667  6 Pb 3.31, 2 Nd 3.38
Nd 0.0000 0.6667 0.3333  6 Pb 3.31, 2 Nd 3.38
Pb 0.7500 0.3941 0.0000  7 Nd 3.19-3.39
Pb 0.2500 0.0000 0.6059  7 Nd 3.19-3.39
Nd 0.2500 0.0000 0.2399  3 Pb 3.19-3.39
Nd 0.7500 0.2399 0.2399  3 Pb 3.19-3.39
Nd 0.7500 0.0000 0.7601  3 Pb 3.19-3.39

=====

Entry 10:
Below is an optimized crystal structure of Nd2PbS4, with properties calculated at the GGA-PBEsol level.

Calculated values
The space group is I-42d, No. 122. The total energy comes out at -86.900 eV per cell.

Unit cell a=7.4073 b=7.4073 c=7.4073 alpha=109.42 beta=109.42 gamma=109.57
Last column: nearest neighbours and their distance in Å.
Atoms (fractional coordinates):
Pb 0.0000 0.0000 0.0000  8 S 2.94-3.07
S 0.5229 0.7704 0.9068  4 Nd 2.84-3.04, 2 Pb 2.94-3.07, 1 S 3.18
S 0.8661 0.6136 0.5932  4 Nd 2.84-3.04, 2 Pb 2.94-3.07, 1 S 3.18
Nd 0.7581 0.8750 0.3831  8 S 2.84-3.04
Nd 0.1250 0.5081 0.8831  8 S 2.84-3.04
S 0.7271 0.1339 0.7475  4 Nd 2.84-3.04, 2 Pb 2.94-3.07, 1 S 3.18
S 0.3839 0.4771 0.2475  4 Nd 2.84-3.04, 2 Pb 2.94-3.07, 1 S 3.18
Nd 0.4919 0.3750 0.6169  8 S 2.84-3.04
Nd 0.6250 0.2419 0.1169  8 S 2.84-3.04
S 0.3864 0.9796 0.2525  4 Nd 2.84-3.04, 2 Pb 2.94-3.07, 1 S 3.18
S 0.0204 0.2729 0.4068  4 Nd 2.84-3.04, 2 Pb 2.94-3.07, 1 S 3.18
S 0.8636 0.6161 0.0932  4 Nd 2.84-3.04, 2 Pb 2.94-3.07, 1 S 3.18
Pb 0.2500 0.7500 0.5000  8 S 2.94-3.07
S 0.2296 0.1364 0.7525  4 Nd 2.84-3.04, 2 Pb 2.94-3.07, 1 S 3.18

=====

Entry 11:
Below is an optimized crystal structure of Nd2Si2PbS8, with properties calculated at the GGA-PBEsol level.

Calculated values
The space group is Cc, No. 9. The total energy comes out at -154.463 eV per cell.

Unit cell a=8.7995 b=8.7995 c=10.0628 alpha=65.64 beta=65.64 gamma=60.98
Last column: nearest neighbours and their distance in Å.
Atoms (fractional coordinates):
Si 0.1761 0.6465 0.5195  4 S 2.12-2.14
S 0.4230 0.2336 0.9507  1 Si 2.12
S 0.6106 0.2757 0.5676  1 Si 2.12
Nd 0.0603 0.2536 0.7506  8 S 2.80-3.04
Pb 0.7534 0.9170 0.7417  6 S 2.82-3.13
Nd 0.4426 0.5592 0.7543  7 S 2.77-3.07
S 0.0724 0.0993 0.5510  1 Si 2.12
S 0.5691 0.0990 0.2608  1 Si 2.13
S 0.3977 0.9192 0.7400  1 Si 2.13
S 0.2336 0.4230 0.4507  1 Si 2.12
S 0.0993 0.0724 0.0510  1 Si 2.12
S 0.7086 0.4110 0.9422  1 Si 2.14
Si 0.6465 0.1761 0.0195  4 S 2.12-2.14
S 0.9192 0.3977 0.2400  1 Si 2.13
S 0.2757 0.6106 0.0676  1 Si 2.12
S 0.9803 0.8823 0.4206  1 Si 2.12
Nd 0.2536 0.0603 0.2506  8 S 2.80-3.04
S 0.7963 0.5358 0.5699  1 Si 2.13
S 0.0990 0.5691 0.7608  1 Si 2.13
Si 0.8503 0.3271 0.4811  4 S 2.12-2.13
Pb 0.9170 0.7534 0.2417  6 S 2.82-3.13
S 0.5358 0.7963 0.0699  1 Si 2.13
Si 0.3271 0.8503 0.9811  4 S 2.12-2.13
Nd 0.5592 0.4426 0.2543  7 S 2.77-3.07
S 0.8823 0.9803 0.9206  1 Si 2.12
S 0.4110 0.7086 0.4422  1 Si 2.14

=====

Entry 12:
Below is an optimized crystal structure of NdPd3S4, with properties calculated at the GGA-PBEsol level.

Calculated values
The space group is Pm-3n, No. 223. The total energy comes out at -96.717 eV per cell.

Unit cell a=6.6465 b=6.6465 c=6.6465 alpha=90.00 beta=90.00 gamma=90.00
Last column: nearest neighbours and their distance in Å.
Atoms (fractional coordinates):
Pd 0.0000 0.5000 0.7500  4 S 2.35
S 0.2500 0.7500 0.2500  3 Pd 2.35
S 0.2500 0.2500 0.7500  3 Pd 2.35
S 0.7500 0.7500 0.7500  3 Pd 2.35
S 0.7500 0.7500 0.2500  3 Pd 2.35
S 0.7500 0.2500 0.2500  3 Pd 2.35
Nd 0.5000 0.5000 0.5000  8 S 2.88
Pd 0.5000 0.7500 0.0000  4 S 2.35
Pd 0.5000 0.2500 0.0000  4 S 2.35
Nd 0.0000 0.0000 0.0000  8 S 2.88
Pd 0.7500 0.0000 0.5000  4 S 2.35
S 0.7500 0.2500 0.7500  3 Pd 2.35
Pd 0.2500 0.0000 0.5000  4 S 2.35
S 0.2500 0.7500 0.7500  3 Pd 2.35
Pd 0.0000 0.5000 0.2500  4 S 2.35
S 0.2500 0.2500 0.2500  3 Pd 2.35